Compound: CuRu3
Source: the Alexandria database
Functional: PBE-GGA
Structure: optimized geometry

Computed properties:
**E**: -31.017 eV per cell
**Magnetization**: 0.00 μB/cell

Cell lengths 2.702, 2.702, 7.446 Å; angles 90.00, 90.00, 90.00 degrees
Positions (direct):
1 Ru 0.500 0.500 0.752
2 Ru 0.000 0.000 0.500
3 Ru 0.500 0.500 0.248
4 Cu 0.000 0.000 0.000

***

Compound: Cu2RuS
Source: the Alexandria database
Functional: PBE-GGA
Structure: optimized geometry

Computed properties:
**ΔE_f (raw)**: 0.33 eV/atom
**Magnetization**: 0.00 μB/cell

Cell lengths 6.952, 6.952, 5.426 Å; angles 50.16, 50.16, 90.00 degrees
Positions (direct):
1 Cu 0.375 0.417 0.750
2 Cu 0.167 0.625 0.250
3 Cu 0.583 0.125 0.250
4 Cu 0.875 0.833 0.750
5 S 0.500 0.500 0.000
6 S 0.250 0.750 0.500
7 Ru 0.750 0.250 0.500
8 Ru 0.000 0.000 0.000

***

Compound: Cu3RuS
Source: the Alexandria database
Functional: PBE-GGA
Structure: optimized geometry

Computed properties:
**ΔE_f (raw)**: 0.73 eV/atom
**Magnetization**: 1.08 μB/cell

Cell lengths 4.223, 4.223, 4.223 Å; angles 90.00, 90.00, 90.00 degrees
Site moments in Bohr magnetons follow the coordinates.
Positions (direct):
1 Ru 0.500 0.500 0.500  1.18
2 S 0.000 0.000 0.000  0.01
3 Cu 0.000 0.500 0.000  -0.01
4 Cu 0.500 0.000 0.000  0.01
5 Cu 0.000 0.000 0.500  -0.02

***

Compound: CuRuS2
Source: the Alexandria database
Functional: PBE-GGA
Structure: optimized geometry

Computed properties:
**ΔE_f (raw)**: -0.17 eV/atom
**Magnetization**: 0.00 μB/cell

Cell lengths 5.287, 5.287, 6.369 Å; angles 65.48, 65.48, 90.00 degrees
Positions (direct):
1 S 0.875 0.880 0.750
2 S 0.120 0.625 0.250
3 S 0.630 0.125 0.250
4 S 0.375 0.370 0.750
5 Ru 0.000 0.000 0.000
6 Ru 0.750 0.250 0.500
7 Cu 0.500 0.500 0.000
8 Cu 0.250 0.750 0.500

***

Compound: CuRu2S
Source: the Alexandria database
Functional: PBE-GGA
Structure: optimized geometry

Computed properties:
**ΔE_f (raw)**: 0.31 eV/atom
**Magnetization**: 0.00 μB/cell

Cell lengths 6.889, 6.889, 5.461 Å; angles 50.90, 50.90, 90.00 degrees
Positions (direct):
1 S 0.500 0.500 0.000
2 S 0.250 0.750 0.500
3 Cu 0.750 0.250 0.500
4 Cu 0.000 0.000 0.000
5 Ru 0.199 0.625 0.250
6 Ru 0.375 0.449 0.750
7 Ru 0.875 0.801 0.750
8 Ru 0.551 0.125 0.250

***

Compound: Cu3RuS
Source: the Alexandria database
Functional: PBE-GGA
Structure: optimized geometry

Computed properties:
**ΔE_f (raw)**: 1.46 eV/atom
**Magnetization**: 2.55 μB/cell

Cell lengths 4.636, 4.636, 4.636 Å; angles 90.00, 90.00, 90.00 degrees
Site moments in Bohr magnetons follow the coordinates.
Positions (direct):
1 Ru 0.000 0.000 0.000  1.61
2 Cu 0.500 0.000 0.000  0.08
3 Cu 0.000 0.000 0.500  0.39
4 Cu 0.000 0.500 0.000  0.18
5 S 0.500 0.500 0.500  0.20

***

Compound: CuRuS
Source: the Alexandria database
Functional: PBE-GGA
Structure: optimized geometry

Computed properties:
**ΔE_f (raw)**: 0.40 eV/atom
**Magnetization**: 0.00 μB/cell

Cell lengths 2.636, 2.602, 15.035 Å; angles 105.31, 105.38, 90.00 degrees
Positions (direct):
1 S 0.552 0.557 0.865
2 S 0.448 0.443 0.135
3 Cu 0.341 0.843 0.725
4 Cu 0.659 0.157 0.275
5 Ru 0.627 0.128 0.584
6 Ru 0.373 0.872 0.416

***

Compound: CuRuS2
Source: the Alexandria database
Functional: PBE-GGA
Structure: optimized geometry

Computed properties:
**ΔE_f (raw)**: -0.16 eV/atom
**Magnetization**: 0.92 μB/cell

Cell lengths 7.116, 7.116, 7.116 Å; angles 28.71, 28.71, 28.71 degrees
Site moments in Bohr magnetons follow the coordinates.
Positions (direct):
1 Ru 0.500 0.500 0.500  0.67
2 Cu 0.000 0.000 0.000  0.03
3 S 0.895 0.895 0.895  0.06
4 S 0.105 0.105 0.105  0.06

***

Compound: CuRuS2
Source: the Alexandria database
Functional: PBE-GGA
Structure: optimized geometry

Computed properties:
**ΔE_f (raw)**: 0.28 eV/atom
**Magnetization**: 0.00 μB/cell

Cell lengths 7.684, 7.684, 7.684 Å; angles 23.41, 23.41, 23.41 degrees
Positions (direct):
1 Ru 0.000 0.000 0.000
2 S 0.901 0.901 0.901
3 S 0.099 0.099 0.099
4 Cu 0.500 0.500 0.500

***

Compound: YCuRuS2
Source: the Alexandria database
Functional: PBE-GGA
Structure: optimized geometry

Computed properties:
**ΔE_f (raw)**: 0.57 eV/atom
**Magnetization**: 2.18 μB/cell

Cell lengths 4.471, 5.047, 4.471 Å; angles 90.00, 90.00, 90.00 degrees
Site moments in Bohr magnetons follow the coordinates.
Positions (direct):
1 S 0.500 0.000 0.000  0.09
2 S 0.000 0.000 0.500  0.08
3 Ru 0.500 0.500 0.500  1.90
4 Cu 0.000 0.000 0.000  0.01
5 Y 0.000 0.500 0.000  -0.10

***

Compound: CuSb2Ru
Source: the Alexandria database
Functional: PBE-GGA
Structure: optimized geometry

Computed properties:
**ΔE_f (raw)**: 0.21 eV/atom
**Magnetization**: 0.00 μB/cell

Cell lengths 4.685, 4.685, 4.685 Å; angles 60.00, 60.00, 60.00 degrees
Positions (direct):
1 Sb 0.750 0.750 0.750
2 Sb 0.250 0.250 0.250
3 Ru 0.500 0.500 0.500
4 Cu 0.000 0.000 0.000

***

Compound: CuSb2Ru
Source: the Alexandria database
Functional: PBE-GGA
Structure: optimized geometry

Computed properties:
**ΔE_f (raw)**: 0.18 eV/atom
**Magnetization**: 0.00 μB/cell

Cell lengths 3.217, 3.217, 7.223 Å; angles 90.00, 90.00, 90.01 degrees
Positions (direct):
1 Sb 0.000 0.000 0.985
2 Sb 0.000 0.000 0.515
3 Ru 0.500 0.500 0.750
4 Cu 0.500 0.500 0.250

***

Compound: Cu2SbRu
Source: the Alexandria database
Functional: PBE-GGA
Structure: optimized geometry

Computed properties:
**ΔE_f (raw)**: 1.14 eV/atom
**Magnetization**: 2.09 μB/cell

Cell lengths 5.634, 5.634, 6.922 Å; angles 65.99, 65.99, 90.00 degrees
Site moments in Bohr magnetons follow the coordinates.
Positions (direct):
1 Ru 0.500 0.500 0.000  0.94
2 Ru 0.250 0.750 0.500  0.93
3 Cu 0.150 0.625 0.250  0.09
4 Cu 0.600 0.125 0.250  0.08
5 Cu 0.875 0.850 0.750  0.07
6 Cu 0.375 0.400 0.750  0.09
7 Sb 0.750 0.250 0.500  -0.03
8 Sb 0.000 0.000 0.000  -0.03

***

Compound: Cu2SbRu
Source: the Alexandria database
Functional: PBE-GGA
Structure: optimized geometry

Computed properties:
**ΔE_f (raw)**: 0.38 eV/atom
**Magnetization**: 0.26 μB/cell

Cell lengths 8.042, 8.042, 8.042 Å; angles 22.14, 22.14, 22.14 degrees
Site moments in Bohr magnetons follow the coordinates.
Positions (direct):
1 Cu 0.993 0.993 0.993  0.00
2 Cu 0.252 0.252 0.252  0.01
3 Ru 0.502 0.502 0.502  0.25
4 Sb 0.753 0.753 0.753  0.00

***

Compound: CuSb4Ru
Source: the Alexandria database
Functional: PBE-GGA
Structure: optimized geometry

Computed properties:
**ΔE_f (raw)**: 1.06 eV/atom
**Magnetization**: 2.37 μB/cell

Cell lengths 6.028, 6.028, 6.028 Å; angles 60.00, 60.00, 60.00 degrees
Site moments in Bohr magnetons follow the coordinates.
Positions (direct):
1 Cu 0.750 0.750 0.750  0.02
2 Sb 0.375 0.375 0.375  0.03
3 Sb 0.375 0.375 0.874  0.03
4 Sb 0.375 0.874 0.375  0.03
5 Sb 0.874 0.375 0.375  0.03
6 Ru 0.000 0.000 0.000  1.99

***

Compound: CuSb3Ru
Source: the Alexandria database
Functional: PBE-GGA
Structure: optimized geometry

Computed properties:
**ΔE_f (raw)**: 1.00 eV/atom
**Magnetization**: 0.00 μB/cell

Cell lengths 4.936, 4.936, 4.936 Å; angles 90.00, 90.00, 90.00 degrees
Positions (direct):
1 Sb 0.000 0.000 0.500
2 Sb 0.500 0.000 0.000
3 Sb 0.000 0.500 0.000
4 Ru 0.500 0.500 0.500
5 Cu 0.000 0.000 0.000

***

Compound: CuSb2Ru
Source: the Alexandria database
Functional: PBE-GGA
Structure: optimized geometry

Computed properties:
**ΔE_f (raw)**: 0.04 eV/atom
**Magnetization**: 0.00 μB/cell

Cell lengths 5.268, 5.268, 4.273 Å; angles 90.00, 90.00, 38.47 degrees
Positions (direct):
1 Sb 0.271 0.271 0.375
2 Sb 0.988 0.988 0.875
3 Ru 0.704 0.704 0.875
4 Cu 0.537 0.537 0.375

***

Compound: Cu2SbRu
Source: the Alexandria database
Functional: PBE-GGA
Structure: optimized geometry

Computed properties:
**ΔE_f (raw)**: 0.19 eV/atom
**Magnetization**: 0.00 μB/cell

Cell lengths 5.237, 5.237, 4.196 Å; angles 65.71, 65.71, 35.54 degrees
Positions (direct):
1 Sb 0.750 0.750 0.750
2 Cu 0.002 0.002 0.998
3 Cu 0.498 0.498 0.502
4 Ru 0.250 0.250 0.250

***

Compound: Cu2SbRu
Source: the Alexandria database
Functional: PBE-GGA
Structure: optimized geometry

Computed properties:
**ΔE_f (raw)**: 0.28 eV/atom
**Magnetization**: 0.00 μB/cell

Cell lengths 4.674, 3.018, 4.442 Å; angles 90.11, 90.00, 90.00 degrees
Positions (direct):
1 Cu 0.000 0.970 0.017
2 Cu 0.000 0.530 0.483
3 Ru 0.500 0.250 0.250
4 Sb 0.500 0.750 0.750

***

Compound: Cu2SbRu
Source: the Alexandria database
Functional: PBE-GGA
Structure: optimized geometry

Computed properties:
**ΔE_f (raw)**: 0.55 eV/atom
**Magnetization**: 0.77 μB/cell

Cell lengths 8.679, 8.679, 8.679 Å; angles 19.62, 19.62, 19.62 degrees
Site moments in Bohr magnetons follow the coordinates.
Positions (direct):
1 Ru 0.250 0.250 0.250  0.69
2 Cu 0.995 0.995 0.995  0.04
3 Cu 0.505 0.505 0.505  0.04
4 Sb 0.750 0.750 0.750  0.00